1.
LiZn2In, relaxed, DFT PBE-GGA; space-group type = No. 123; N(E_F) = 1.92 states/eV per cell; DFT total energy = -1.90 eV/atom
1.0
4.116 0.000 0.000
0.000 4.117 0.000
0.000 0.000 4.127
Li Zn In
1 2 1
direct
0.000 0.500 0.500
0.500 0.500 0.000
0.000 0.000 0.000
0.500 0.000 0.500

***

2.
Li3ZnIn, relaxed, DFT PBE-GGA; space-group type = No. 46; energy above the most stable polymorph in this dataset = 0.524 eV per formula unit; N(E_F) = 4.88 states/eV per cell; DFT total energy = -2.02 eV/atom
1.0
6.685 -0.457 0.058
-3.679 5.600 -0.058
-3.071 -1.655 5.721
Li In Zn
6 2 2
direct
0.034 0.265 0.733
0.532 0.765 0.731
0.980 0.781 0.699
0.034 0.801 0.269
0.532 0.301 0.267
0.082 0.281 0.301
0.593 0.781 0.312
0.470 0.281 0.688
0.530 0.031 0.000
0.031 0.531 0.000

***

3.
Li3ZnIn4, relaxed, DFT PBE-GGA; space-group type = No. 12; N(E_F) = 1.74 states/eV per cell; DFT total energy = -2.36 eV/atom
1.0
3.684 0.000 0.000
0.000 4.254 -0.352
-1.842 -0.913 11.108
Li In Zn
3 4 1
direct
0.868 0.877 0.735
0.132 0.123 0.265
0.000 0.500 0.000
0.411 0.416 0.822
0.279 0.275 0.557
0.589 0.584 0.178
0.721 0.725 0.443
0.500 0.000 0.000

***

4.
Li3ZnIn3, relaxed, DFT PBE-GGA; space-group type = No. 65; N(E_F) = 5.52 states/eV per cell; DFT total energy = -2.36 eV/atom
1.0
6.622 0.079 -0.001
0.094 6.621 -0.001
0.001 0.001 6.254
Li In Zn
6 6 2
direct
0.000 0.000 0.771
0.000 0.500 0.234
0.000 0.500 0.766
0.000 0.000 0.229
0.500 0.000 0.766
0.500 0.000 0.234
0.261 0.261 0.500
0.314 0.686 0.000
0.729 0.271 0.500
0.686 0.314 0.000
0.739 0.739 0.500
0.271 0.729 0.500
0.258 0.258 0.000
0.742 0.742 0.000